Entry 1:
PrDy8C4: relaxed, GGA-PBE.

Lattice parameters (Å, degrees): 3.6080 9.2202 9.4216 83.70 78.96 78.72
Site moments in Bohr magnetons follow the coordinates.
Element x y z (fractional)
Pr (0.5159, 0.0016, 0.9666)  0.11
Dy (0.1546, 0.3216, 0.3692)  0.03
Dy (0.5569, 0.6507, 0.2355)  0.05
Dy (0.4745, 0.3526, 0.6984)  0.05
Dy (0.8767, 0.6820, 0.5647)  0.03
Dy (0.8508, 0.9827, 0.3156)  0.02
Dy (0.2227, 0.6524, 0.9021)  0.09
Dy (0.1806, 0.0209, 0.6180)  0.02
Dy (0.8088, 0.3507, 0.0318)  0.09
C (0.3665, 0.8314, 0.4355)  0.00
C (0.8488, 0.5096, 0.7927)  -0.01
C (0.1826, 0.4937, 0.1410)  -0.01
C (0.6648, 0.1722, 0.4982)  0.00

Entry 2:
PrDy3C8: relaxed, GGA-PBE.

Lattice parameters (Å, degrees): 6.2923 6.3060 6.2914 65.83 79.68 114.17
Element x y z (fractional)
Pr (0.0001, 0.0000, 0.0000)
Dy (0.7471, 0.5000, 0.7529)
Dy (0.2471, 0.5000, 0.2529)
Dy (0.5002, 0.0000, 0.4998)
C (0.0916, 0.0000, 0.5647)
C (0.5662, 0.6572, 0.4338)
C (0.9091, 0.3428, 0.0910)
C (0.4353, 0.0000, 0.9084)
C (0.8822, 0.0000, 0.5943)
C (0.5971, 0.4788, 0.4029)
C (0.1183, 0.5212, 0.8817)
C (0.4057, 0.0000, 0.1178)

Entry 3:
PrDy2C: relaxed, GGA-PBE.

Offset from the most stable computed form (eV/f.u.): 0.27

Lattice parameters (Å, degrees): 3.5429 3.5429 10.1139 79.91 79.91 60.00
Site moments in Bohr magnetons follow the coordinates.
Element x y z (fractional)
Pr (0.0000, 0.0000, 0.0000)  0.19
C (0.5000, 0.5000, 0.5000)  0.00
Dy (0.1213, 0.1213, 0.6362)  0.03
Dy (0.8787, 0.8787, 0.3638)  0.03

Entry 4:
PrDy2C3: relaxed, GGA-PBE.

Lattice parameters (Å, degrees): 5.7255 7.0890 7.0890 63.73 66.18 66.18
Element x y z (fractional)
Pr (0.7500, 0.7032, 0.7968)
Pr (0.2500, 0.2968, 0.2032)
Dy (0.0797, 0.0867, 0.7538)
Dy (0.5797, 0.2538, 0.5867)
Dy (0.4203, 0.7462, 0.4133)
Dy (0.9203, 0.9133, 0.2462)
C (0.3810, 0.0000, 0.0000)
C (0.6190, 0.0000, 0.0000)
C (0.1190, 0.5000, 0.5000)
C (0.0000, 0.0000, 0.5000)
C (0.5000, 0.0000, 0.5000)
C (0.8810, 0.5000, 0.5000)

no.,raw total energy (eV/atom),DOS(E_F) (states/eV/f.u.),energy of formation (eV per atom)
1,-6.2162,12.49,-0.18
2,-7.5706,4.23,0.13
3,-5.9083,4.37,-0.11
4,-6.9855,3.45,-0.04